(1)
Material: Na2FeO3
Method: DFT, meta-GGA SCAN
State: PBEsol geometry

The structure in POSCAR format:
```
Na2FeO3
1.0
0.000 4.676 8.755
3.160 0.000 8.755
3.160 4.676 0.000
Na Fe O
8 4 12
Direct
0.047 0.047 0.203
0.117 0.117 0.633
0.203 0.203 0.047
0.367 0.367 0.883
0.633 0.633 0.117
0.797 0.797 0.953
0.883 0.883 0.367
0.953 0.953 0.797
0.290 0.290 0.460
0.460 0.460 0.290
0.540 0.540 0.710
0.710 0.710 0.540
0.006 0.437 0.738
0.184 0.566 0.566
0.262 0.681 0.994
0.319 0.738 0.437
0.434 0.816 0.816
0.437 0.006 0.319
0.563 0.994 0.681
0.566 0.184 0.184
0.681 0.262 0.563
0.738 0.319 0.006
0.816 0.434 0.434
0.994 0.563 0.262
```

(2)
Material: NaFeO3
Method: DFT, meta-GGA SCAN
State: PBEsol geometry

The structure in POSCAR format:
```
NaFeO3
1.0
2.457 1.419 5.222
-2.457 1.419 5.222
0.000 -2.838 5.222
Na Fe O
2 2 6
Direct
0.143 0.143 0.143
0.857 0.857 0.857
0.339 0.339 0.339
0.661 0.661 0.661
0.061 0.681 0.456
0.319 0.544 0.939
0.456 0.061 0.681
0.544 0.939 0.319
0.681 0.456 0.061
0.939 0.319 0.544
```

no.,energy (eV per cell),raw formation energy (meV per atom)
1,-221.53,-1688.2
2,-97.41,-1533.6